(1)
YTl2Ag | GGA-PBE | relaxed

CIF file:
```
data_YTl2Ag
_chemical_formula_sum 'Y4 Tl8 Ag4'
_symmetry_space_group_name_H-M 'I 4/m m m'
_symmetry_Int_Tables_number 139
_symmetry_space_group_name_Hall '-I 4 2'
_cell_length_a 4.755
_cell_length_b 4.755
_cell_length_c 17.505
_cell_angle_alpha 90.00
_cell_angle_beta 90.00
_cell_angle_gamma 90.00
loop_
_atom_site_label
_atom_site_fract_x
_atom_site_fract_y
_atom_site_fract_z
Y1 0.000 0.000 0.131
Tl1 0.000 0.000 0.354
Tl2 0.000 0.500 0.000
Ag1 0.000 0.500 0.250
```

Energy: -3.752 eV/atom
Calculated volume: 98.96 Å³/f.u.

---

(2)
YTl2Ag | GGA-PBE | relaxed

CIF file:
```
data_YTl2Ag
_chemical_formula_sum 'Y3 Tl6 Ag3'
_symmetry_space_group_name_H-M 'R 3 m'
_symmetry_Int_Tables_number 160
_symmetry_space_group_name_Hall 'R 3 -2"'
_cell_length_a 3.6026
_cell_length_b 3.6026
_cell_length_c 29.5912
_cell_angle_alpha 90.00
_cell_angle_beta 90.00
_cell_angle_gamma 120.00
loop_
_atom_site_label
_atom_site_fract_x
_atom_site_fract_y
_atom_site_fract_z
Y1 0.0000 0.0000 0.0000
Tl1 0.0000 0.0000 0.2456
Tl2 0.0000 0.0000 0.4880
Ag1 0.0000 0.0000 0.7420
```

Energy: -3.522 eV/atom
Calculated volume: 110.87 Å³/f.u.

---

(3)
YTlAg3 | GGA-PBE | relaxed

CIF file:
```
data_YTlAg3
_chemical_formula_sum 'Y1 Tl1 Ag3'
_symmetry_space_group_name_H-M 'P m -3 m'
_symmetry_Int_Tables_number 221
_symmetry_space_group_name_Hall '-P 4 2 3'
_cell_length_a 5.590
_cell_length_b 5.590
_cell_length_c 5.590
_cell_angle_alpha 90.00
_cell_angle_beta 90.00
_cell_angle_gamma 90.00
loop_
_atom_site_label
_atom_site_fract_x
_atom_site_fract_y
_atom_site_fract_z
Y1 0.000 0.000 0.000
Tl1 0.500 0.500 0.500
Ag1 0.000 0.000 0.500
```

Polymorph energy (0 for the lowest one): 0.7001 eV per atom
Calculated volume: 174.68 Å³/f.u.